Record 1
Material: Zr3Ag2PbS8
Method: DFT, PBE-GGA
State: relaxed

Summary:
The space group is R3m (160). For the raw formation energy, the calculation gives -1002 meV/atom.

Cell and atoms, written as POSCAR:
```
Zr3Ag2PbS8
1.0
7.6950 0.0000 0.0000
3.8475 6.6641 0.0000
3.8475 2.2214 6.6115
Zr Ag Pb S
3 2 1 8
Cartesian
7.6950 2.2545 6.5457
5.8000 5.5368 6.5457
9.5900 5.5368 6.5457
3.8475 2.2214 4.0201
7.6950 4.4427 3.6477
11.5425 6.6641 2.2897
3.8475 2.2214 1.4434
11.5425 6.6641 5.1867
5.8089 3.3538 5.2330
9.5811 3.3538 5.2330
7.6950 6.6205 5.2330
7.6950 2.5637 1.4731
6.0677 5.3822 1.4731
9.3223 5.3822 1.4731
```


Record 2
Material: CeNd2ZrP4
Method: DFT, PBE-GGA
State: relaxed

Summary:
For the formation energy, the calculation gives -11.77 eV/f.u. The space group is P2/m (10). The value obtained for the density of states at the Fermi level is 5.7 states/eV/cell.

Cell and atoms, written as POSCAR:
```
CeNd2ZrP4
1.0
4.0238 0.0000 0.0000
0.0000 6.9675 0.1311
0.0000 -2.4251 6.5571
Ce Nd Zr P
1 2 1 4
Cartesian
2.0119 3.4837 0.0655
2.0119 -1.2126 3.2785
0.0000 2.2712 3.3441
0.0000 0.0000 0.0000
2.0119 1.0785 1.5337
2.0119 3.4638 5.1545
0.0000 -0.1487 5.0497
0.0000 4.6911 1.6385
```


Here are the calculated calculated total energy numbers, same order: -82.1, -57.4 (eV per formula unit).
Here are the calculated magnetic moment numbers, same order: 0.0, 0.2 (μB per formula unit).